1.
{
  "formula": "Cd2HgBr",
  "functional": "PBE",
  "state": "optimized geometry",
  "sg": "No. 225",
  "de_polymorph_mev_per_atom": 182,
  "lattice_angstrom": [[0.000, 3.807, 3.807], [3.807, 0.000, 3.807], [3.807, 3.807, 0.000]],
  "species": ["Cd", "Cd", "Hg", "Br"],
  "fractional_positions": [[0.250, 0.250, 0.250], [0.750, 0.750, 0.750], [0.000, 0.000, 0.000], [0.500, 0.500, 0.500]]
}

---

2.
{
  "formula": "Ca2LaSe",
  "functional": "PBE",
  "state": "optimized geometry",
  "sg": "No. 166",
  "energy_ev_per_cell": -15.8,
  "lattice_angstrom": [[1.974, 1.140, 10.266], [-1.974, 1.140, 10.266], [0.000, -2.280, 10.266]],
  "species": ["Ca", "Ca", "La", "Se"],
  "fractional_positions": [[0.226, 0.226, 0.226], [0.774, 0.774, 0.774], [0.000, 0.000, 0.000], [0.500, 0.500, 0.500]]
}

---

3.
{
  "formula": "ZrRh2W",
  "functional": "PBE",
  "state": "optimized geometry",
  "sg": "No. 99",
  "de_polymorph_mev_per_atom": 119,
  "e_form_ev_per_atom": -0.24,
  "lattice_angstrom": [[3.298, 0.000, 0.000], [0.000, 3.298, 0.000], [0.000, 0.000, 6.159]],
  "species": ["Zr", "Rh", "Rh", "W"],
  "fractional_positions": [[0.000, 0.000, 0.000], [0.000, 0.000, 0.503], [0.500, 0.500, 0.232], [0.500, 0.500, 0.692]]
}

---

Repeat the second record exactly.
{
  "formula": "Ca2LaSe",
  "functional": "PBE",
  "state": "optimized geometry",
  "sg": "No. 166",
  "energy_ev_per_cell": -15.8,
  "lattice_angstrom": [[1.974, 1.140, 10.266], [-1.974, 1.140, 10.266], [0.000, -2.280, 10.266]],
  "species": ["Ca", "Ca", "La", "Se"],
  "fractional_positions": [[0.226, 0.226, 0.226], [0.774, 0.774, 0.774], [0.000, 0.000, 0.000], [0.500, 0.500, 0.500]]
}